No. 1
Below is crystalline NaErSnPt at its relaxed geometry, with properties calculated at the PBE level.

Results
- Mass density: 10.4 g cm⁻³
- Energy of formation: -0.6852 eV per atom
- VASP energy: -18.7 eV for the cell shown

abc: 4.851 4.851 4.851
angles: 60.00 60.00 60.00
Fractional coordinates of all 4 atoms:
1 Na 0.500 0.500 0.500
2 Sn 0.750 0.750 0.750
3 Pt 0.000 0.000 0.000
4 Er 0.250 0.250 0.250



No. 2
Below is crystalline Na2TaCuP at its relaxed geometry, with properties calculated at the PBE level.

Results
- Mass density: 3.3 g cm⁻³
- Energy of formation: 1.7416 eV per atom
- VASP energy: -15.3 eV for the cell shown

abc: 5.838 4.777 5.838
angles: 90.00 90.00 90.00
Last column: magnetic moment on the atom in μB.
Fractional coordinates of all 5 atoms:
1 P 0.500 0.500 0.500  -0.60
2 Na 0.000 0.000 0.500  0.05
3 Na 0.500 0.000 0.000  0.06
4 Cu 0.000 0.500 0.000  0.04
5 Ta 0.000 0.000 0.000  2.11



No. 3
Below is crystalline YBAs2Br at its relaxed geometry, with properties calculated at the PBE level.

Results
- Raw formation energy: 0.063 eV/atom
- Mass density: 5.4 g cm⁻³
- VASP energy: -23.8 eV for the cell shown
- Energy relative to the lowest polymorph listed for this composition: 0 meV/atom

abc: 4.398 4.398 5.205
angles: 90.00 90.00 90.00
Fractional coordinates of all 5 atoms:
1 Y 0.500 0.500 0.500
2 As 0.000 0.500 0.000
3 As 0.500 0.000 0.000
4 B 0.000 0.000 0.000
5 Br 0.000 0.000 0.500



No. 4
Below is crystalline Ac3Te3N at its relaxed geometry, with properties calculated at the PBE level.

Results
- Raw formation energy: -1.570 eV/atom
- Mass density: 7.4 g cm⁻³
- VASP energy: -164.3 eV for the cell shown
- Energy relative to the lowest polymorph listed for this composition: 0 meV/atom

abc: 8.363 8.508 14.166
angles: 90.00 90.00 105.63
Fractional coordinates of all 28 atoms:
1 Ac 0.027 0.841 0.081
2 Ac 0.473 0.659 0.581
3 Ac 0.973 0.159 0.919
4 Ac 0.527 0.341 0.419
5 Ac 0.413 0.247 0.072
6 Ac 0.087 0.253 0.572
7 Ac 0.587 0.753 0.928
8 Ac 0.913 0.747 0.428
9 Ac 0.494 0.227 0.705
10 Ac 0.006 0.273 0.205
11 Ac 0.506 0.773 0.295
12 Ac 0.994 0.727 0.795
13 Te 0.713 0.411 0.902
14 Te 0.787 0.089 0.402
15 Te 0.287 0.589 0.098
16 Te 0.213 0.911 0.598
17 Te 0.823 0.484 0.609
18 Te 0.677 0.016 0.109
19 Te 0.177 0.516 0.391
20 Te 0.323 0.984 0.891
21 Te 0.249 0.463 0.790
22 Te 0.251 0.037 0.290
23 Te 0.751 0.537 0.210
24 Te 0.749 0.963 0.710
25 N 0.386 0.350 0.569
26 N 0.114 0.150 0.069
27 N 0.614 0.650 0.431
28 N 0.886 0.850 0.931



No. 5
Below is crystalline Dy6Ho8Er at its relaxed geometry, with properties calculated at the PBE level.

Results
- Mass density: 8.6 g cm⁻³
- Energy of formation: 0.1275 eV per atom
- VASP energy: -66.9 eV for the cell shown

abc: 8.959 8.959 8.548
angles: 58.40 58.40 60.00
Fractional coordinates of all 15 atoms:
1 Dy 0.459 0.892 0.877
2 Dy 0.108 0.228 0.123
3 Dy 0.228 0.541 0.123
4 Dy 0.772 0.459 0.877
5 Dy 0.892 0.772 0.877
6 Dy 0.541 0.108 0.123
7 Ho 0.721 0.110 0.425
8 Ho 0.890 0.256 0.575
9 Ho 0.256 0.279 0.575
10 Ho 0.577 0.577 0.270
11 Ho 0.423 0.423 0.730
12 Ho 0.744 0.721 0.425
13 Ho 0.110 0.744 0.425
14 Ho 0.279 0.890 0.575
15 Er 0.000 0.000 0.000



No. 6
Below is crystalline HgHPtAu at its relaxed geometry, with properties calculated at the PBE level.

Results
- Mass density: 16.0 g cm⁻³
- VASP energy: -12.6 eV for the cell shown

abc: 2.894 5.429 4.763
angles: 124.74 89.97 90.00
Fractional coordinates of all 4 atoms:
1 Hg 0.123 0.563 0.126
2 H 0.123 0.128 0.256
3 Pt 0.623 0.255 0.509
4 Au 0.622 0.882 0.763



No. 7
Below is crystalline Na2PaAgF8 at its relaxed geometry, with properties calculated at the PBE level.

Results
- Raw formation energy: -3.009 eV/atom
- Mass density: 4.2 g cm⁻³
- VASP energy: -66.1 eV for the cell shown

abc: 6.516 6.516 6.516
angles: 109.31 109.31 109.79
Fractional coordinates of all 12 atoms:
1 Na 0.750 0.250 0.500
2 Na 0.500 0.500 0.000
3 Pa 0.250 0.750 0.500
4 Ag 0.000 0.000 0.000
5 F 0.331 0.003 0.329
6 F 0.321 0.542 0.221
7 F 0.321 0.100 0.779
8 F 0.674 0.003 0.671
9 F 0.900 0.679 0.221
10 F 0.997 0.326 0.329
11 F 0.997 0.669 0.671
12 F 0.458 0.679 0.779



No. 8
Below is crystalline Nd2DyRh at its relaxed geometry, with properties calculated at the PBE level.

Results
- Mass density: 8.1 g cm⁻³
- Energy of formation: -0.2594 eV per atom
- VASP energy: -22.5 eV for the cell shown
- Energy relative to the lowest polymorph listed for this composition: 190 meV/atom

abc: 3.614 3.614 8.715
angles: 90.00 90.00 90.00
Fractional coordinates of all 4 atoms:
1 Rh 0.500 0.500 0.000
2 Nd 0.000 0.000 0.808
3 Nd 0.000 0.000 0.192
4 Dy 0.500 0.500 0.500



No. 9
Below is crystalline Ta2Br at its relaxed geometry, with properties calculated at the PBE level.

Results
- Raw formation energy: 0.025 eV/atom
- Mass density: 9.1 g cm⁻³
- VASP energy: -50.6 eV for the cell shown
- Energy relative to the lowest polymorph listed for this composition: 0 meV/atom

abc: 5.272 5.272 9.699
angles: 76.49 76.49 38.13
Fractional coordinates of all 6 atoms:
1 Ta 0.603 0.603 0.360
2 Ta 0.877 0.877 0.427
3 Ta 0.123 0.123 0.573
4 Ta 0.397 0.397 0.640
5 Br 0.171 0.171 0.843
6 Br 0.829 0.829 0.157



No. 10
Below is crystalline LiGa3Ru at its relaxed geometry, with properties calculated at the PBE level.

Results
- Mass density: 4.7 g cm⁻³
- Energy of formation: -0.1508 eV per atom
- VASP energy: -21.0 eV for the cell shown
- Energy relative to the lowest polymorph listed for this composition: 102 meV/atom

abc: 4.831 4.831 4.831
angles: 90.00 90.00 90.00
Fractional coordinates of all 5 atoms:
1 Ru 0.000 0.000 0.000
2 Ga 0.000 0.500 0.000
3 Ga 0.000 0.000 0.500
4 Ga 0.500 0.000 0.000
5 Li 0.500 0.500 0.500



No. 11
Below is crystalline Pr2DyThSe5 at its relaxed geometry, with properties calculated at the PBE level.

Results
- Raw formation energy: -1.185 eV/atom
- Mass density: 6.3 g cm⁻³
- VASP energy: -49.7 eV for the cell shown

abc: 5.102 5.102 10.911
angles: 90.00 90.00 90.00
Fractional coordinates of all 9 atoms:
1 Pr 0.500 0.500 0.300
2 Pr 0.500 0.500 0.700
3 Dy 0.000 0.000 0.500
4 Th 0.000 0.000 0.000
5 Se 0.000 0.500 0.500
6 Se 0.500 0.000 0.500
7 Se 0.000 0.000 0.752
8 Se 0.000 0.000 0.248
9 Se 0.500 0.500 0.000



No. 12
Below is crystalline MgAs2Ru at its relaxed geometry, with properties calculated at the PBE level.

Results
- Mass density: 4.7 g cm⁻³
- Energy of formation: -0.0312 eV per atom
- VASP energy: -40.6 eV for the cell shown

abc: 5.778 5.778 7.099
angles: 65.99 65.99 90.00
Fractional coordinates of all 8 atoms:
1 Ru 0.000 0.000 0.000
2 Ru 0.750 0.250 0.500
3 As 0.672 0.125 0.250
4 As 0.078 0.625 0.250
5 As 0.375 0.328 0.750
6 As 0.875 0.922 0.750
7 Mg 0.500 0.500 0.000
8 Mg 0.250 0.750 0.500



No. 13
Below is crystalline Zr4Co2Cu at its relaxed geometry, with properties calculated at the PBE level.

Results
- Mass density: 6.9 g cm⁻³
- Energy of formation: -0.1395 eV per atom
- VASP energy: -107.0 eV for the cell shown

abc: 6.630 6.631 6.654
angles: 106.61 106.60 74.92
Fractional coordinates of all 14 atoms:
1 Co 0.340 0.340 0.667
2 Co 0.328 0.327 0.210
3 Co 0.917 0.421 0.611
4 Co 0.422 0.917 0.611
5 Cu 0.837 0.838 0.168
6 Cu 0.846 0.846 0.743
7 Zr 0.124 0.123 0.829
8 Zr 0.620 0.620 0.354
9 Zr 0.120 0.120 0.336
10 Zr 0.613 0.184 0.977
11 Zr 0.183 0.612 0.976
12 Zr 0.607 0.608 0.819
13 Zr 0.145 0.647 0.475
14 Zr 0.647 0.145 0.476



No. 14
Below is crystalline LaCuSb at its relaxed geometry, with properties calculated at the PBE level.

Results
- Raw formation energy: -0.720 eV/atom
- Mass density: 7.3 g cm⁻³
- VASP energy: -61.2 eV for the cell shown

abc: 6.428 8.008 6.134
angles: 69.51 90.00 90.00
Fractional coordinates of all 12 atoms:
1 Cu 0.909 0.471 0.336
2 Cu 0.409 0.029 0.164
3 Cu 0.091 0.529 0.664
4 Cu 0.591 0.971 0.836
5 La 0.360 0.623 0.166
6 La 0.860 0.877 0.334
7 La 0.640 0.377 0.834
8 La 0.140 0.123 0.666
9 Sb 0.612 0.228 0.415
10 Sb 0.112 0.272 0.085
11 Sb 0.388 0.772 0.585
12 Sb 0.888 0.728 0.915



No. 15
Below is crystalline Mn2CrAg at its relaxed geometry, with properties calculated at the PBE level.

Results
- Mass density: 8.2 g cm⁻³
- Energy of formation: 0.3323 eV per atom
- VASP energy: -29.5 eV for the cell shown
- Energy relative to the lowest polymorph listed for this composition: 88 meV/atom

abc: 2.639 2.639 8.385
angles: 90.00 90.00 110.63
Last column: magnetic moment on the atom in μB.
Fractional coordinates of all 4 atoms:
1 Ag 0.500 0.500 0.250  0.02
2 Cr 0.500 0.500 0.750  -1.05
3 Mn 0.000 0.000 0.971  2.47
4 Mn 0.000 0.000 0.529  2.47



No. 16
Below is crystalline CeHo2Au6 at its relaxed geometry, with properties calculated at the PBE level.

Results
- Mass density: 13.4 g cm⁻³
- Energy of formation: -0.7135 eV per atom
- VASP energy: -41.2 eV for the cell shown

abc: 3.627 8.485 8.485
angles: 53.86 77.66 77.66
Last column: magnetic moment on the atom in μB.
Fractional coordinates of all 9 atoms:
1 Ce 0.000 0.000 0.000  0.83
2 Ho 0.859 0.641 0.641  0.01
3 Ho 0.141 0.359 0.359  0.01
4 Au 0.678 0.010 0.635  0.00
5 Au 0.322 0.990 0.365  0.00
6 Au 0.322 0.365 0.990  0.00
7 Au 0.500 0.682 0.318  0.01
8 Au 0.500 0.318 0.682  0.01
9 Au 0.678 0.635 0.010  0.00



No. 17
Below is crystalline HfBO2 at its relaxed geometry, with properties calculated at the PBE level.

Results
- Raw formation energy: -1.037 eV/atom
- Mass density: 4.5 g cm⁻³
- VASP energy: -61.4 eV for the cell shown

abc: 5.944 5.944 6.261
angles: 61.66 61.66 90.00
Last column: magnetic moment on the atom in μB.
Fractional coordinates of all 8 atoms:
1 B 0.500 0.500 0.000  0.36
2 B 0.250 0.750 0.500  0.36
3 Hf 0.000 0.000 0.000  0.01
4 Hf 0.750 0.250 0.500  0.01
5 O 0.793 0.125 0.250  0.03
6 O 0.957 0.625 0.250  0.02
7 O 0.375 0.207 0.750  0.02
8 O 0.875 0.043 0.750  0.02



No. 18
Below is crystalline RbPCl2O at its relaxed geometry, with properties calculated at the PBE level.

Results
- Raw formation energy: 0.867 eV/atom
- Mass density: 1.1 g cm⁻³
- VASP energy: -10.7 eV for the cell shown
- Energy relative to the lowest polymorph listed for this composition: 1480 meV/atom

abc: 6.308 6.308 7.482
angles: 90.00 90.00 90.00
Last column: magnetic moment on the atom in μB.
Fractional coordinates of all 5 atoms:
1 P 0.000 0.000 0.500  -1.18
2 O 0.500 0.500 0.500  -1.50
3 Rb 0.000 0.000 0.000  -0.01
4 Cl 0.000 0.500 0.000  0.33
5 Cl 0.500 0.000 0.000  0.33



No. 19
Below is crystalline CaCd2Cl at its relaxed geometry, with properties calculated at the PBE level.

Results
- Raw formation energy: -0.649 eV/atom
- Mass density: 4.4 g cm⁻³
- VASP energy: -8.3 eV for the cell shown
- Energy relative to the lowest polymorph listed for this composition: 141 meV/atom

abc: 6.107 6.107 6.107
angles: 142.71 123.11 70.01
Fractional coordinates of all 4 atoms:
1 Ca 0.278 0.778 0.500
2 Cl 0.462 0.462 0.000
3 Cd 0.005 0.005 0.000
4 Cd 0.755 0.255 0.500



No. 20
Below is crystalline CaPm2RhO5 at its relaxed geometry, with properties calculated at the PBE level.

Results
- Raw formation energy: -2.486 eV/atom
- Mass density: 6.6 g cm⁻³
- VASP energy: -132.0 eV for the cell shown

abc: 5.821 6.678 6.678
angles: 90.00 90.00 90.00
Last column: magnetic moment on the atom in μB.
Fractional coordinates of all 18 atoms:
1 Ca 0.000 0.500 0.500  0.00
2 Ca 0.000 0.000 0.000  0.00
3 Pm 0.500 0.672 0.172  -0.01
4 Pm 0.500 0.172 0.328  -0.01
5 Pm 0.500 0.828 0.672  -0.01
6 Pm 0.500 0.328 0.828  -0.01
7 Rh 0.000 0.000 0.500  0.70
8 Rh 0.000 0.500 0.000  0.70
9 O 0.500 0.500 0.500  0.03
10 O 0.500 0.000 0.000  0.03
11 O 0.247 0.145 0.645  0.06
12 O 0.247 0.855 0.355  0.06
13 O 0.247 0.355 0.145  0.06
14 O 0.247 0.645 0.855  0.06
15 O 0.753 0.145 0.645  0.06
16 O 0.753 0.645 0.855  0.06
17 O 0.753 0.855 0.355  0.06
18 O 0.753 0.355 0.145  0.06



No. 21
Below is crystalline Er3Cd2Hg7 at its relaxed geometry, with properties calculated at the PBE level.

Results
- Mass density: 11.4 g cm⁻³
- Energy of formation: -0.1837 eV per atom
- VASP energy: -19.8 eV for the cell shown
- Energy relative to the lowest polymorph listed for this composition: 52 meV/atom

abc: 4.108 5.003 15.323
angles: 99.40 90.00 90.00
Fractional coordinates of all 12 atoms:
1 Er 0.500 0.500 0.000
2 Er 0.500 0.651 0.302
3 Er 0.500 0.349 0.698
4 Cd 0.000 0.834 0.667
5 Cd 0.000 0.166 0.333
6 Hg 0.000 0.424 0.849
7 Hg 0.000 0.726 0.452
8 Hg 0.000 0.000 0.000
9 Hg 0.000 0.576 0.151
10 Hg 0.500 0.085 0.170
11 Hg 0.500 0.915 0.830
12 Hg 0.000 0.274 0.548



No. 22
Below is crystalline ErSc2Be at its relaxed geometry, with properties calculated at the PBE level.

Results
- Mass density: 5.1 g cm⁻³
- Energy of formation: 0.0282 eV per atom
- VASP energy: -20.8 eV for the cell shown
- Energy relative to the lowest polymorph listed for this composition: 0 meV/atom

abc: 3.244 3.244 8.260
angles: 90.00 90.00 90.00
Fractional coordinates of all 4 atoms:
1 Sc 0.000 0.000 0.813
2 Sc 0.000 0.000 0.187
3 Be 0.500 0.500 0.000
4 Er 0.500 0.500 0.500



No. 23
Below is crystalline Pm3PrAg at its relaxed geometry, with properties calculated at the PBE level.

Results
- Mass density: 6.6 g cm⁻³
- Energy of formation: 0.0607 eV per atom
- VASP energy: -43.2 eV for the cell shown

abc: 7.338 7.338 8.110
angles: 99.32 116.97 108.65
Fractional coordinates of all 10 atoms:
1 Pm 0.817 0.976 0.200
2 Pm 0.224 0.383 0.200
3 Pm 0.776 0.617 0.800
4 Pm 0.745 0.449 0.194
5 Pm 0.183 0.024 0.800
6 Pm 0.255 0.551 0.806
7 Pr 0.685 0.082 0.767
8 Pr 0.315 0.918 0.233
9 Ag 0.680 0.762 0.442
10 Ag 0.320 0.238 0.558